ReNiF2 after structural relaxation, computed with PBE+U.

POSCAR file:
```
ReNiF2
1.0
2.6872 0.0000 0.0000
-1.3436 2.3272 0.0000
0.0000 0.0000 24.1344
Re Ni F
3 3 6
Direct
0.0000 0.0000 0.0000
0.3333 0.6667 0.6667
0.6667 0.3333 0.3333
0.0000 0.0000 0.5000
0.3333 0.6667 0.1667
0.6667 0.3333 0.8333
0.0000 0.0000 0.0812
0.0000 0.0000 0.9188
0.3333 0.6667 0.5855
0.3333 0.6667 0.7479
0.6667 0.3333 0.2521
0.6667 0.3333 0.4145
```

Computed properties:
**Excess energy over the best structure of this formula in the dataset**: 0 meV per atom
**Symmetry**: R-3m (166)